[1]
Computed, not measured: crystalline CaTb4Tm2 at its relaxed geometry at the PBE level of DFT.

abc: 3.5584 3.5584 62.1000
angles: 90.00 90.00 120.00
Space group R-3m (No. 166, hexagonal axes)
Asymmetric unit:
Ca: 0.0000 0.0000 0.0000
Tb: 0.0000 0.0000 0.1433
Tb: 0.0000 0.0000 0.2813
Tm: 0.0000 0.0000 0.4305

Computed properties:
VASP energy	-4.16	eV/atom

[2]
Computed, not measured: crystalline CaTb8Tm4 at its relaxed geometry at the PBE level of DFT.

abc: 11.248 5.026 14.664
angles: 90.00 94.28 90.00
Space group C2/m (No. 12)
Asymmetric unit:
Ca: 0.000 0.000 0.000
Tb: 0.039 0.500 0.386
Tb: 0.076 0.000 0.764
Tb: 0.193 0.500 0.919
Tb: 0.233 0.000 0.310
Tm: 0.122 0.500 0.160
Tm: 0.153 0.000 0.538

Computed properties:
VASP energy	-4.33	eV/atom

[3]
Computed, not measured: crystalline CaTb2Tm2 at its relaxed geometry at the PBE level of DFT.

abc: 5.466 17.304 3.510
angles: 90.00 90.00 90.00
Space group Cmmm (No. 65)
Asymmetric unit:
Ca: 0.000 0.000 0.000
Tb: 0.000 0.378 0.500
Tm: 0.000 0.201 0.000

Computed properties:
VASP energy	-3.98	eV/atom

Calculated formation energy? In order: 46 49 59 meV/atom.
Magnetic moment? In order: 0.0 0.0 0.0 μB per formula unit.